Record 1
This record from the Alexandria database describes an optimized crystal structure of Cd2InAg2. The functional is PBE.

calculated volume	105.0	Å³ per cell
excess energy over the best structure of this formula in the dataset	24	meV/atom
E_form	0.0	eV/f.u.
VASP energy	-2.049	eV per atom
N(E_F)	0.281	states/eV per atom

Cell lengths 3.664, 3.664, 8.237 Å; angles 102.85, 102.85, 90.00 degrees
Fractional positions:
1 Cd 0.612 0.612 0.223
2 Cd 0.388 0.388 0.777
3 In 0.000 0.000 0.000
4 Ag 0.202 0.202 0.405
5 Ag 0.798 0.798 0.595

Record 2
This record from the Alexandria database describes an optimized crystal structure of CdIn4Ag4. The functional is PBE.

calculated volume	217.5	Å³ per cell
E_form	0.6	eV/f.u.
VASP energy	-2.515	eV per atom
N(E_F)	0.407	states/eV per atom

Cell lengths 4.638, 10.633, 4.638 Å; angles 77.40, 90.00, 102.60 degrees
Fractional positions:
1 Ag 0.978 0.415 0.562
2 Ag 0.022 0.585 0.978
3 In 0.155 0.771 0.384
4 Ag 0.562 0.585 0.438
5 In 0.384 0.229 0.616
6 Ag 0.438 0.415 0.022
7 In 0.616 0.771 0.845
8 In 0.845 0.229 0.155
9 Cd 0.000 0.000 0.000

Record 3
This record from the Alexandria database describes an optimized crystal structure of CdIn2Ag2. The functional is PBE.

calculated volume	120.8	Å³ per cell
excess energy over the best structure of this formula in the dataset	172	meV/atom
E_form	0.8	eV/f.u.
VASP energy	-2.259	eV per atom
N(E_F)	0.551	states/eV per atom

Cell lengths 4.257, 4.257, 7.315 Å; angles 73.08, 73.08, 90.00 degrees
Fractional positions:
1 Cd 0.000 0.000 0.000
2 In 0.250 0.750 0.500
3 Ag 0.601 0.601 0.799
4 Ag 0.399 0.399 0.201
5 In 0.750 0.250 0.500